This record from Alexandria describes a geometry-optimized AcHfRhO6 structure. The functional is GGA-PBE.

The total energy is -72.242 eV/f.u. Its crystal system is trigonal. For the uncorrected formation energy, the calculation gives -2342 meV/atom.

The space group is P-31c (No. 163) and the conventional cell measures 5.3684, 5.3684 and 10.8045 Å, with angles of 90.00, 90.00 and 120.00 degrees. The asymmetric unit holds Ac at (0.0000, 0.0000, 0.0000), Hf at (0.3333, 0.6667, 0.2500), Rh at (0.3333, 0.6667, 0.7500) and O at (0.0128, 0.3749, 0.6459).